#w
The following is a DFT calculation (GGA-PBE) of an optimized crystal structure of KLa2Nb2.

Summary:
SG   P4/mbm (127)
Crystal system   tetragonal

Cell and atoms, written as CIF:
```
data_KLa2Nb2
_symmetry_space_group_name_H-M 'P 1'
_symmetry_Int_Tables_number 1
_cell_length_a 9.478
_cell_length_b 9.478
_cell_length_c 3.446
_cell_angle_alpha 90.00
_cell_angle_beta 90.00
_cell_angle_gamma 90.00
loop_
_symmetry_equiv_pos_as_xyz
'x,y,z'
loop_
_atom_site_label
_atom_site_type_symbol
_atom_site_fract_x
_atom_site_fract_y
_atom_site_fract_z
_atom_site_occupancy
Nb1 Nb 0.410 0.910 0.000 1
Nb2 Nb 0.090 0.410 0.000 1
Nb3 Nb 0.590 0.090 0.000 1
Nb4 Nb 0.910 0.590 0.000 1
La1 La 0.697 0.803 0.500 1
La2 La 0.803 0.303 0.500 1
La3 La 0.197 0.697 0.500 1
La4 La 0.303 0.197 0.500 1
K1 K 0.000 0.000 0.000 1
K2 K 0.500 0.500 0.000 1
```

#x
The following is a DFT calculation (GGA-PBE) of an optimized crystal structure of KLa2Nb2.

Summary:
SG   I4/mmm (139)
Crystal system   tetragonal

Cell and atoms, written as CIF:
```
data_KLa2Nb2
_symmetry_space_group_name_H-M 'P 1'
_symmetry_Int_Tables_number 1
_cell_length_a 5.941
_cell_length_b 5.941
_cell_length_c 6.250
_cell_angle_alpha 61.62
_cell_angle_beta 61.62
_cell_angle_gamma 90.00
loop_
_symmetry_equiv_pos_as_xyz
'x,y,z'
loop_
_atom_site_label
_atom_site_type_symbol
_atom_site_fract_x
_atom_site_fract_y
_atom_site_fract_z
_atom_site_occupancy
K1 K 0.000 0.000 0.000 1
Nb1 Nb 0.625 0.625 0.751 1
Nb2 Nb 0.375 0.375 0.249 1
La1 La 0.750 0.250 0.500 1
La2 La 0.250 0.750 0.500 1
```

Name the most stable of them. #w.

#w
The following is a DFT calculation (GGA-PBE) of an optimized crystal structure of K2LaNi.

Summary:
SG   Pm (6)
Crystal system   monoclinic

Cell and atoms, written as CIF:
```
data_K2LaNi
_symmetry_space_group_name_H-M 'P 1'
_symmetry_Int_Tables_number 1
_cell_length_a 3.877
_cell_length_b 4.024
_cell_length_c 10.991
_cell_angle_alpha 79.90
_cell_angle_beta 90.00
_cell_angle_gamma 90.00
loop_
_symmetry_equiv_pos_as_xyz
'x,y,z'
loop_
_atom_site_label
_atom_site_type_symbol
_atom_site_fract_x
_atom_site_fract_y
_atom_site_fract_z
_atom_site_occupancy
K1 K 0.500 0.150 0.309 1
K2 K 0.000 0.848 0.936 1
Ni1 Ni 0.500 0.996 0.638 1
La1 La 0.000 0.506 0.617 1
```

#x
The following is a DFT calculation (GGA-PBE) of an optimized crystal structure of K2LaNi.

Summary:
SG   Cmmm (65)
Crystal system   orthorhombic

Cell and atoms, written as CIF:
```
data_K2LaNi
_symmetry_space_group_name_H-M 'P 1'
_symmetry_Int_Tables_number 1
_cell_length_a 6.721
_cell_length_b 4.502
_cell_length_c 4.494
_cell_angle_alpha 83.99
_cell_angle_beta 90.00
_cell_angle_gamma 90.00
loop_
_symmetry_equiv_pos_as_xyz
'x,y,z'
loop_
_atom_site_label
_atom_site_type_symbol
_atom_site_fract_x
_atom_site_fract_y
_atom_site_fract_z
_atom_site_occupancy
K1 K 0.000 0.971 0.971 1
K2 K 0.000 0.529 0.529 1
Ni1 Ni 0.500 0.750 0.750 1
La1 La 0.500 0.250 0.250 1
```

#y
The following is a DFT calculation (GGA-PBE) of an optimized crystal structure of K2LaNi.

Summary:
SG   R-3m (166)
Crystal system   trigonal

Cell and atoms, written as CIF:
```
data_K2LaNi
_symmetry_space_group_name_H-M 'P 1'
_symmetry_Int_Tables_number 1
_cell_length_a 12.667
_cell_length_b 12.667
_cell_length_c 12.667
_cell_angle_alpha 16.51
_cell_angle_beta 16.51
_cell_angle_gamma 16.51
loop_
_symmetry_equiv_pos_as_xyz
'x,y,z'
loop_
_atom_site_label
_atom_site_type_symbol
_atom_site_fract_x
_atom_site_fract_y
_atom_site_fract_z
_atom_site_occupancy
La1 La 0.750 0.750 0.750 1
K1 K 0.519 0.519 0.519 1
K2 K 0.981 0.981 0.981 1
Ni1 Ni 0.250 0.250 0.250 1
```

#z
The following is a DFT calculation (GGA-PBE) of an optimized crystal structure of K2LaNi.

Summary:
SG   Cm (8)
Crystal system   monoclinic

Cell and atoms, written as CIF:
```
data_K2LaNi
_symmetry_space_group_name_H-M 'P 1'
_symmetry_Int_Tables_number 1
_cell_length_a 4.177
_cell_length_b 4.177
_cell_length_c 11.766
_cell_angle_alpha 79.68
_cell_angle_beta 79.68
_cell_angle_gamma 60.13
loop_
_symmetry_equiv_pos_as_xyz
'x,y,z'
loop_
_atom_site_label
_atom_site_type_symbol
_atom_site_fract_x
_atom_site_fract_y
_atom_site_fract_z
_atom_site_occupancy
K1 K 0.970 0.970 0.088 1
K2 K 0.762 0.762 0.727 1
La1 La 0.532 0.532 0.398 1
Ni1 Ni 0.236 0.236 0.287 1
```

Name the most stable of them. #w.

#w
The following is a DFT calculation (GGA-PBE) of an optimized crystal structure of K2LaNi.

Summary:
SG   Pmmm (47)
Crystal system   orthorhombic

Cell and atoms, written as CIF:
```
data_K2LaNi
_symmetry_space_group_name_H-M 'P 1'
_symmetry_Int_Tables_number 1
_cell_length_a 3.635
_cell_length_b 6.219
_cell_length_c 6.167
_cell_angle_alpha 90.00
_cell_angle_beta 90.00
_cell_angle_gamma 90.00
loop_
_symmetry_equiv_pos_as_xyz
'x,y,z'
loop_
_atom_site_label
_atom_site_type_symbol
_atom_site_fract_x
_atom_site_fract_y
_atom_site_fract_z
_atom_site_occupancy
La1 La 0.500 0.500 0.250 1
K1 K 0.000 0.000 0.518 1
K2 K 0.000 0.000 0.982 1
Ni1 Ni 0.500 0.500 0.750 1
```

#x
The following is a DFT calculation (GGA-PBE) of an optimized crystal structure of K2LaNi.

Summary:
SG   Fm-3m (225)
Crystal system   cubic

Cell and atoms, written as CIF:
```
data_K2LaNi
_symmetry_space_group_name_H-M 'P 1'
_symmetry_Int_Tables_number 1
_cell_length_a 5.731
_cell_length_b 5.731
_cell_length_c 5.731
_cell_angle_alpha 60.00
_cell_angle_beta 60.00
_cell_angle_gamma 60.00
loop_
_symmetry_equiv_pos_as_xyz
'x,y,z'
loop_
_atom_site_label
_atom_site_type_symbol
_atom_site_fract_x
_atom_site_fract_y
_atom_site_fract_z
_atom_site_occupancy
K1 K 0.250 0.250 0.250 1
K2 K 0.750 0.750 0.750 1
Ni1 Ni 0.500 0.500 0.500 1
La1 La 0.000 0.000 0.000 1
```

#y
The following is a DFT calculation (GGA-PBE) of an optimized crystal structure of K2LaNi.

Summary:
SG   I4/mmm (139)
Crystal system   tetragonal

Cell and atoms, written as CIF:
```
data_K2LaNi
_symmetry_space_group_name_H-M 'P 1'
_symmetry_Int_Tables_number 1
_cell_length_a 7.384
_cell_length_b 7.384
_cell_length_c 7.384
_cell_angle_alpha 144.98
_cell_angle_beta 144.98
_cell_angle_gamma 50.36
loop_
_symmetry_equiv_pos_as_xyz
'x,y,z'
loop_
_atom_site_label
_atom_site_type_symbol
_atom_site_fract_x
_atom_site_fract_y
_atom_site_fract_z
_atom_site_occupancy
La1 La 0.250 0.750 0.500 1
Ni1 Ni 0.750 0.250 0.500 1
K1 K 0.000 0.000 0.000 1
K2 K 0.500 0.500 0.000 1
```

#z
The following is a DFT calculation (GGA-PBE) of an optimized crystal structure of K2LaNi.

Summary:
SG   P4/mmm (123)
Crystal system   tetragonal

Cell and atoms, written as CIF:
```
data_K2LaNi
_symmetry_space_group_name_H-M 'P 1'
_symmetry_Int_Tables_number 1
_cell_length_a 4.448
_cell_length_b 4.448
_cell_length_c 6.652
_cell_angle_alpha 90.00
_cell_angle_beta 90.00
_cell_angle_gamma 90.00
loop_
_symmetry_equiv_pos_as_xyz
'x,y,z'
loop_
_atom_site_label
_atom_site_type_symbol
_atom_site_fract_x
_atom_site_fract_y
_atom_site_fract_z
_atom_site_occupancy
La1 La 0.500 0.000 0.500 1
K1 K 0.000 0.000 0.000 1
K2 K 0.500 0.500 0.000 1
Ni1 Ni 0.000 0.500 0.500 1
```

Name the most stable of them. #z.